This record from Alexandria describes a crystal of MgSbTe2C relaxed with PBEsol. The functional is meta-GGA SCAN.

Computed properties:
**Total DFT energy (no corrections)**: -23.623 eV per atom
**DOS(E_F)**: 5.73 states/eV per cell
**Formation energy (no corrections)**: 8.72 eV/f.u.

Cell: 5.2816 5.2981 5.2981 Å, 90.00 90.00 90.00°
Each line ends with the local moment (μB).
Element x y z (fractional)
Sb 0.5000 0.0000 0.0000  -0.03
Mg 0.0000 0.0000 0.0000  0.00
Te 0.0000 0.0000 0.5000  -0.15
Te 0.0000 0.5000 0.0000  -0.15
C 0.5000 0.5000 0.5000  0.94